Entry 1:
# Ho5V2O12, relaxed, DFT GGA+U
data_Ho5V2O12
_chemical_formula_sum 'Ho10 V4 O24'
_cell_length_a 12.173
_cell_length_b 5.767
_cell_length_c 7.291
_cell_angle_alpha 90.00
_cell_angle_beta 107.52
_cell_angle_gamma 90.00
_symmetry_space_group_name_H-M 'C 1 2/m 1'
_symmetry_Int_Tables_number 12
loop_
_symmetry_equiv_pos_as_xyz
'x,y,z'
'-x,-y,-z'
'-x,y,-z'
'x,-y,z'
'x+1/2,y+1/2,z'
'-x+1/2,-y+1/2,-z'
'-x+1/2,y+1/2,-z'
'x+1/2,-y+1/2,z'
loop_
_atom_site_label
_atom_site_type_symbol
_atom_site_fract_x
_atom_site_fract_y
_atom_site_fract_z
Ho1 Ho 0.000 0.000 0.000
Ho2 Ho 0.189 0.500 0.329
Ho3 Ho 0.195 0.500 0.859
V1 V 0.000 0.233 0.500
O1 O 0.000 0.000 0.313
O2 O 0.000 0.500 0.321
O3 O 0.154 0.251 0.076
O4 O 0.160 0.258 0.580
# electronic total energy = -156.20 eV/f.u.


Entry 2:
# HoV2O2, relaxed, DFT GGA+U
data_HoV2O2
_chemical_formula_sum 'Ho8 V16 O16'
_cell_length_a 8.257
_cell_length_b 8.257
_cell_length_c 9.609
_cell_angle_alpha 90.00
_cell_angle_beta 90.00
_cell_angle_gamma 90.00
_symmetry_space_group_name_H-M 'I 41/a m d'
_symmetry_Int_Tables_number 141
loop_
_symmetry_equiv_pos_as_xyz
'x,y,z'
'-x,-y,-z'
'-y+1/4,x+3/4,z+1/4'
'y+1/4,-x+3/4,-z+1/4'
'-x+1/2,-y,z+1/2'
'x+1/2,y,-z+1/2'
'y+1/4,-x+1/4,z+3/4'
'-y+1/4,x+1/4,-z+3/4'
'x,-y,-z'
'-x,y,z'
'-y+1/4,-x+1/4,-z+3/4'
'y+1/4,x+1/4,z+3/4'
'-x+1/2,y,-z+1/2'
'x+1/2,-y,z+1/2'
'y+1/4,x+3/4,-z+1/4'
'-y+1/4,-x+3/4,z+1/4'
'x+1/2,y+1/2,z+1/2'
'-x+1/2,-y+1/2,-z+1/2'
'-y+3/4,x+1/4,z+3/4'
'y+3/4,-x+1/4,-z+3/4'
'-x,-y+1/2,z'
'x,y+1/2,-z'
'y+3/4,-x+3/4,z+1/4'
'-y+3/4,x+3/4,-z+1/4'
'x+1/2,-y+1/2,-z+1/2'
'-x+1/2,y+1/2,z+1/2'
'-y+3/4,-x+3/4,-z+1/4'
'y+3/4,x+3/4,z+1/4'
'-x,y+1/2,-z'
'x,-y+1/2,z'
'y+3/4,x+1/4,-z+3/4'
'-y+3/4,-x+1/4,z+3/4'
loop_
_atom_site_label
_atom_site_type_symbol
_atom_site_fract_x
_atom_site_fract_y
_atom_site_fract_z
Ho1 Ho 0.000 0.000 0.000
V1 V 0.000 0.043 0.369
O1 O 0.000 0.094 0.775
# electronic total energy = -33.90 eV/f.u.


Entry 3:
# Ho3V5O12, relaxed, DFT GGA+U
data_Ho3V5O12
_chemical_formula_sum 'Ho24 V40 O96'
_cell_length_a 12.560
_cell_length_b 12.560
_cell_length_c 12.560
_cell_angle_alpha 90.00
_cell_angle_beta 90.00
_cell_angle_gamma 90.00
_symmetry_space_group_name_H-M 'I a -3 d'
_symmetry_Int_Tables_number 230
_symmetry_space_group_name_Hall '-I 4bd 2c 3'
loop_
_atom_site_label
_atom_site_type_symbol
_atom_site_fract_x
_atom_site_fract_y
_atom_site_fract_z
Ho1 Ho 0.000 0.250 0.125
V1 V 0.000 0.000 0.000
V2 V 0.000 0.250 0.375
O1 O 0.026 0.059 0.653
# electronic total energy = -161.59 eV/f.u.


Entry 4:
# Ho2VO6, relaxed, DFT GGA+U
data_Ho2VO6
_chemical_formula_sum 'Ho4 V2 O12'
_cell_length_a 5.336
_cell_length_b 5.840
_cell_length_c 8.607
_cell_angle_alpha 90.00
_cell_angle_beta 120.28
_cell_angle_gamma 90.00
_symmetry_space_group_name_H-M 'P 1 21/c 1'
_symmetry_Int_Tables_number 14
loop_
_symmetry_equiv_pos_as_xyz
'x,y,z'
'-x,-y,-z'
'-x,y+1/2,-z+1/2'
'x,-y+1/2,z+1/2'
loop_
_atom_site_label
_atom_site_type_symbol
_atom_site_fract_x
_atom_site_fract_y
_atom_site_fract_z
Ho1 Ho 0.192 0.096 0.236
V1 V 0.500 0.000 0.000
O1 O 0.157 0.162 0.947
O2 O 0.270 0.727 0.912
O3 O 0.432 0.069 0.772
# electronic total energy = -69.99 eV/f.u.


Entry 5:
# YHoV2O8, relaxed, DFT GGA+U
data_YHoV2O8
_chemical_formula_sum 'Y2 Ho2 V4 O16'
_cell_length_a 7.203
_cell_length_b 7.203
_cell_length_c 6.351
_cell_angle_alpha 90.00
_cell_angle_beta 90.00
_cell_angle_gamma 90.00
_symmetry_space_group_name_H-M 'I -4 m 2'
_symmetry_Int_Tables_number 119
_symmetry_space_group_name_Hall 'I -4 -2'
loop_
_atom_site_label
_atom_site_type_symbol
_atom_site_fract_x
_atom_site_fract_y
_atom_site_fract_z
Y1 Y 0.000 0.000 0.000
Ho1 Ho 0.000 0.500 0.750
V1 V 0.000 0.000 0.500
V2 V 0.000 0.500 0.250
O1 O 0.000 0.186 0.675
O2 O 0.000 0.316 0.073
# electronic total energy = -98.43 eV/f.u.


Entry 6:
# Ho5W2O12, relaxed, DFT GGA+U
data_Ho5W2O12
_chemical_formula_sum 'Ho10 W4 O24'
_cell_length_a 12.350
_cell_length_b 5.762
_cell_length_c 7.570
_cell_angle_alpha 90.00
_cell_angle_beta 108.01
_cell_angle_gamma 90.00
_symmetry_space_group_name_H-M 'C 1 2/m 1'
_symmetry_Int_Tables_number 12
loop_
_symmetry_equiv_pos_as_xyz
'x,y,z'
'-x,-y,-z'
'-x,y,-z'
'x,-y,z'
'x+1/2,y+1/2,z'
'-x+1/2,-y+1/2,-z'
'-x+1/2,y+1/2,-z'
'x+1/2,-y+1/2,z'
loop_
_atom_site_label
_atom_site_type_symbol
_atom_site_fract_x
_atom_site_fract_y
_atom_site_fract_z
Ho1 Ho 0.000 0.000 0.000
Ho2 Ho 0.187 0.500 0.319
Ho3 Ho 0.197 0.500 0.862
W1 W 0.000 0.219 0.500
O1 O 0.000 0.500 0.317
O2 O 0.003 0.000 0.292
O3 O 0.155 0.253 0.073
O4 O 0.166 0.257 0.587
# electronic total energy = -155.07 eV/f.u.


Entry 7:
# HoW2O6, relaxed, DFT GGA+U
data_HoW2O6
_chemical_formula_sum 'Ho2 W4 O12'
_cell_length_a 5.404
_cell_length_b 7.846
_cell_length_c 5.675
_cell_angle_alpha 90.00
_cell_angle_beta 90.08
_cell_angle_gamma 90.00
_symmetry_space_group_name_H-M 'P 1 m 1'
_symmetry_Int_Tables_number 6
loop_
_symmetry_equiv_pos_as_xyz
'x,y,z'
'x,-y,z'
loop_
_atom_site_label
_atom_site_type_symbol
_atom_site_fract_x
_atom_site_fract_y
_atom_site_fract_z
Ho1 Ho 0.000 0.000 0.000
Ho2 Ho 0.488 0.500 0.361
W1 W 0.011 0.250 0.437
W2 W 0.515 0.250 0.917
O1 O 0.105 0.000 0.388
O2 O 0.221 0.297 0.161
O3 O 0.331 0.310 0.617
O4 O 0.399 0.000 0.905
O5 O 0.597 0.500 0.973
O6 O 0.735 0.200 0.207
O7 O 0.847 0.192 0.728
O8 O 0.890 0.500 0.452
# electronic total energy = -70.23 eV/f.u.


Entry 8:
# HoWO4, relaxed, DFT GGA+U
data_HoWO4
_chemical_formula_sum 'Ho2 W2 O8'
_cell_length_a 6.861
_cell_length_b 7.082
_cell_length_c 3.326
_cell_angle_alpha 90.00
_cell_angle_beta 90.00
_cell_angle_gamma 90.00
_symmetry_space_group_name_H-M 'C m m m'
_symmetry_Int_Tables_number 65
_symmetry_space_group_name_Hall '-C 2 2'
loop_
_atom_site_label
_atom_site_type_symbol
_atom_site_fract_x
_atom_site_fract_y
_atom_site_fract_z
Ho1 Ho 0.000 0.000 0.000
W1 W 0.000 0.500 0.500
O1 O 0.000 0.321 0.000
O2 O 0.218 0.000 0.500
# electronic total energy = -48.00 eV/f.u.


Entry 9:
# Ho3WO6, relaxed, DFT GGA+U
data_Ho3WO6
_chemical_formula_sum 'Ho18 W6 O36'
_cell_length_a 9.5273
_cell_length_b 9.5273
_cell_length_c 11.0546
_cell_angle_alpha 90.00
_cell_angle_beta 90.00
_cell_angle_gamma 120.00
_symmetry_space_group_name_H-M 'R -3'
_symmetry_Int_Tables_number 148
_symmetry_space_group_name_Hall '-R 3'
loop_
_atom_site_label
_atom_site_type_symbol
_atom_site_fract_x
_atom_site_fract_y
_atom_site_fract_z
Ho1 Ho 0.0404 0.7744 0.2068
W1 W 0.0000 0.0000 0.0000
W2 W 0.0000 0.0000 0.5000
O1 O 0.0260 0.8107 0.4038
O2 O 0.0279 0.8419 0.8733
# electronic total energy = -82.12 eV/f.u.


Entry 10:
# Ho2W3O12, relaxed, DFT GGA+U
data_Ho2W3O12
_chemical_formula_sum 'Ho8 W12 O48'
_cell_length_a 10.158
_cell_length_b 10.236
_cell_length_c 17.507
_cell_angle_alpha 90.00
_cell_angle_beta 125.44
_cell_angle_gamma 90.00
_symmetry_space_group_name_H-M 'P 1 21/c 1'
_symmetry_Int_Tables_number 14
loop_
_symmetry_equiv_pos_as_xyz
'x,y,z'
'-x,-y,-z'
'-x,y+1/2,-z+1/2'
'x,-y+1/2,z+1/2'
loop_
_atom_site_label
_atom_site_type_symbol
_atom_site_fract_x
_atom_site_fract_y
_atom_site_fract_z
Ho1 Ho 0.133 0.031 0.383
Ho2 Ho 0.367 0.031 0.117
W1 W 0.027 0.750 0.000
W2 W 0.246 0.111 0.857
W3 W 0.468 0.611 0.857
O1 O 0.004 0.660 0.080
O2 O 0.064 0.638 0.934
O3 O 0.078 0.018 0.762
O4 O 0.157 0.160 0.081
O5 O 0.196 0.638 0.566
O6 O 0.198 0.216 0.342
O7 O 0.285 0.058 0.967
O8 O 0.295 0.585 0.860
O9 O 0.351 0.058 0.533
O10 O 0.425 0.084 0.860
O11 O 0.445 0.519 0.762
O12 O 0.487 0.716 0.342
# electronic total energy = -133.01 eV/f.u.


Entry 11:
# HoW4O12, relaxed, DFT GGA+U
data_HoW4O12
_chemical_formula_sum 'Ho2 W8 O24'
_cell_length_a 7.522
_cell_length_b 7.823
_cell_length_c 7.837
_cell_angle_alpha 90.00
_cell_angle_beta 90.00
_cell_angle_gamma 90.00
_symmetry_space_group_name_H-M 'I m m m'
_symmetry_Int_Tables_number 71
_symmetry_space_group_name_Hall '-I 2 2'
loop_
_atom_site_label
_atom_site_type_symbol
_atom_site_fract_x
_atom_site_fract_y
_atom_site_fract_z
Ho1 Ho 0.000 0.000 0.000
W1 W 0.250 0.250 0.250
O1 O 0.000 0.296 0.293
O2 O 0.193 0.000 0.243
O3 O 0.193 0.239 0.000
# electronic total energy = -130.20 eV/f.u.


Entry 12:
# Ho2W3O12, relaxed, DFT GGA+U
data_Ho2W3O12
_chemical_formula_sum 'Ho8 W12 O48'
_cell_length_a 7.722
_cell_length_b 11.384
_cell_length_c 11.362
_cell_angle_alpha 90.00
_cell_angle_beta 108.93
_cell_angle_gamma 90.00
_symmetry_space_group_name_H-M 'C 1 2/c 1'
_symmetry_Int_Tables_number 15
loop_
_symmetry_equiv_pos_as_xyz
'x,y,z'
'-x,-y,-z'
'-x,y,-z+1/2'
'x,-y,z+1/2'
'x+1/2,y+1/2,z'
'-x+1/2,-y+1/2,-z'
'-x+1/2,y+1/2,-z+1/2'
'x+1/2,-y+1/2,z+1/2'
loop_
_atom_site_label
_atom_site_type_symbol
_atom_site_fract_x
_atom_site_fract_y
_atom_site_fract_z
Ho1 Ho 0.165 0.123 0.093
W1 W 0.000 0.134 0.750
W2 W 0.147 0.393 0.551
O1 O 0.053 0.281 0.439
O2 O 0.069 0.462 0.926
O3 O 0.130 0.050 0.458
O4 O 0.133 0.208 0.897
O5 O 0.169 0.040 0.720
O6 O 0.216 0.318 0.703
# electronic total energy = -132.51 eV/f.u.


Entry 13:
# HoW2O8, relaxed, DFT GGA+U
data_HoW2O8
_chemical_formula_sum 'Ho2 W4 O16'
_cell_length_a 4.854
_cell_length_b 4.854
_cell_length_c 10.986
_cell_angle_alpha 90.00
_cell_angle_beta 90.00
_cell_angle_gamma 90.00
_symmetry_space_group_name_H-M 'I 4/m m m'
_symmetry_Int_Tables_number 139
_symmetry_space_group_name_Hall '-I 4 2'
loop_
_atom_site_label
_atom_site_type_symbol
_atom_site_fract_x
_atom_site_fract_y
_atom_site_fract_z
Ho1 Ho 0.000 0.000 0.000
W1 W 0.000 0.500 0.250
O1 O 0.248 0.248 0.144
# electronic total energy = -78.75 eV/f.u.